1.
DFT (PBE) results for crystalline ErPaIrPd at its relaxed geometry.

Structure (CIF):
```
data_ErPaIrPd
_cell_length_a 6.9383
_cell_length_b 6.9383
_cell_length_c 6.9383
_cell_angle_alpha 90.00
_cell_angle_beta 90.00
_cell_angle_gamma 90.00
_symmetry_space_group_name_H-M 'F -4 3 m'
_symmetry_Int_Tables_number 216
_symmetry_space_group_name_Hall 'F -4 2 3'
loop_
_atom_site_label
_atom_site_fract_x
_atom_site_fract_y
_atom_site_fract_z
_atom_site_occupancy
Er1 0.0000 0.0000 0.0000 1
Pa1 0.0000 0.0000 0.5000 1
Ir1 0.2500 0.2500 0.2500 1
Pd1 0.2500 0.2500 0.7500 1
```

For the density of states at the Fermi level, the calculation gives 5.87 states/eV/f.u. The calculation puts the total energy at -7.714 eV/atom. Its energy of formation from the pure elements is -0.69 eV/atom.

---

2.
DFT (PBE) results for crystalline CuSiP2Cl at its relaxed geometry.

Structure (CIF):
```
data_CuSiP2Cl
_cell_length_a 4.5610
_cell_length_b 4.5610
_cell_length_c 4.6139
_cell_angle_alpha 90.00
_cell_angle_beta 90.00
_cell_angle_gamma 90.00
_symmetry_space_group_name_H-M 'P 4/m m m'
_symmetry_Int_Tables_number 123
_symmetry_space_group_name_Hall '-P 4 2'
loop_
_atom_site_label
_atom_site_fract_x
_atom_site_fract_y
_atom_site_fract_z
_atom_site_occupancy
Cu1 0.0000 0.0000 0.0000 1
Si1 0.5000 0.5000 0.5000 1
P1 0.0000 0.5000 0.5000 1
Cl1 0.5000 0.5000 0.0000 1
```

For the density of states at the Fermi level, the calculation gives 3.53 states/eV/f.u. The calculation puts the total energy at -3.679 eV/atom. The value obtained for the energy above the lowest structure with this stoichiometry is 0 meV per atom.

---

3.
DFT (PBE) results for crystalline Mg3MnIn at its relaxed geometry.

Structure (CIF):
```
data_Mg3MnIn
_cell_length_a 5.1431
_cell_length_b 5.1431
_cell_length_c 5.1431
_cell_angle_alpha 90.00
_cell_angle_beta 90.00
_cell_angle_gamma 90.00
_symmetry_space_group_name_H-M 'P m -3 m'
_symmetry_Int_Tables_number 221
_symmetry_space_group_name_Hall '-P 4 2 3'
loop_
_atom_site_label
_atom_site_fract_x
_atom_site_fract_y
_atom_site_fract_z
_atom_site_occupancy
Mg1 0.0000 0.0000 0.5000 1
Mn1 0.0000 0.0000 0.0000 1
In1 0.5000 0.5000 0.5000 1
```

For the density of states at the Fermi level, the calculation gives 3.25 states/eV/f.u. The calculation puts the total energy at -2.777 eV/atom. The value obtained for the energy above the lowest structure with this stoichiometry is 0 meV per atom. Its energy of formation from the pure elements is 0.56 eV/atom.

---

4.
DFT (PBE) results for crystalline Te2Pb2Se at its relaxed geometry.

Structure (CIF):
```
data_Te2Pb2Se
_cell_length_a 8.5015
_cell_length_b 8.5015
_cell_length_c 4.3578
_cell_angle_alpha 90.00
_cell_angle_beta 90.00
_cell_angle_gamma 90.00
_symmetry_space_group_name_H-M 'P 4/m b m'
_symmetry_Int_Tables_number 127
_symmetry_space_group_name_Hall '-P 4 2ab'
loop_
_atom_site_label
_atom_site_fract_x
_atom_site_fract_y
_atom_site_fract_z
_atom_site_occupancy
Te1 0.1650 0.3350 0.0000 1
Pb1 0.1489 0.6489 0.5000 1
Se1 0.0000 0.0000 0.0000 1
```

For the density of states at the Fermi level, the calculation gives 0.85 states/eV/f.u. The calculation puts the total energy at -3.493 eV/atom. The value obtained for the energy above the lowest structure with this stoichiometry is 38 meV per atom.

---

5.
DFT (PBE) results for crystalline TaV2Br at its relaxed geometry.

Structure (CIF):
```
data_TaV2Br
_cell_length_a 7.2111
_cell_length_b 7.2111
_cell_length_c 5.2268
_cell_angle_alpha 90.00
_cell_angle_beta 90.00
_cell_angle_gamma 90.00
_symmetry_space_group_name_H-M 'I -4 2 d'
_symmetry_Int_Tables_number 122
_symmetry_space_group_name_Hall 'I -4 2bw'
loop_
_atom_site_label
_atom_site_fract_x
_atom_site_fract_y
_atom_site_fract_z
_atom_site_occupancy
Ta1 0.0000 0.0000 0.0000 1
V1 0.2010 0.7500 0.6250 1
Br1 0.0000 0.0000 0.5000 1
```

For the density of states at the Fermi level, the calculation gives 6.56 states/eV/f.u. The calculation puts the total energy at -7.008 eV/atom. The value obtained for the energy above the lowest structure with this stoichiometry is 124 meV per atom.

---

6.
DFT (PBE) results for crystalline CaNiTe4 at its relaxed geometry.

Structure (CIF):
```
data_CaNiTe4
_cell_length_a 8.9630
_cell_length_b 8.9630
_cell_length_c 8.9630
_cell_angle_alpha 90.00
_cell_angle_beta 90.00
_cell_angle_gamma 90.00
_symmetry_space_group_name_H-M 'F -4 3 m'
_symmetry_Int_Tables_number 216
_symmetry_space_group_name_Hall 'F -4 2 3'
loop_
_atom_site_label
_atom_site_fract_x
_atom_site_fract_y
_atom_site_fract_z
_atom_site_occupancy
Ca1 0.0000 0.0000 0.0000 1
Ni1 0.2500 0.2500 0.7500 1
Te1 0.1241 0.1241 0.3759 1
```

For the density of states at the Fermi level, the calculation gives 10.23 states/eV/f.u. The calculation puts the total energy at -3.041 eV/atom.

---

7.
DFT (PBE) results for crystalline CeDy3Tm at its relaxed geometry.

Structure (CIF):
```
data_CeDy3Tm
_cell_length_a 5.0005
_cell_length_b 11.1333
_cell_length_c 11.2543
_cell_angle_alpha 90.00
_cell_angle_beta 90.00
_cell_angle_gamma 90.00
_symmetry_space_group_name_H-M 'C m m m'
_symmetry_Int_Tables_number 65
_symmetry_space_group_name_Hall '-C 2 2'
loop_
_atom_site_label
_atom_site_fract_x
_atom_site_fract_y
_atom_site_fract_z
_atom_site_occupancy
Ce1 0.0000 0.1866 0.0000 1
Dy1 0.0000 0.1525 0.2956 1
Dy2 0.0000 0.5000 0.1549 1
Tm1 0.0000 0.3598 0.5000 1
```

For the density of states at the Fermi level, the calculation gives 8.58 states/eV/f.u. The calculation puts the total energy at -4.648 eV/atom. The value obtained for the energy above the lowest structure with this stoichiometry is 147 meV per atom. Its energy of formation from the pure elements is 0.19 eV/atom.

---

8.
DFT (PBE) results for crystalline ErTm2Pu at its relaxed geometry.

Structure (CIF):
```
data_ErTm2Pu
_cell_length_a 3.3748
_cell_length_b 5.4645
_cell_length_c 6.5726
_cell_angle_alpha 90.00
_cell_angle_beta 104.13
_cell_angle_gamma 90.00
_symmetry_space_group_name_H-M 'P 1 m 1'
_symmetry_Int_Tables_number 6
loop_
_symmetry_equiv_pos_as_xyz
'x,y,z'
'x,-y,z'
loop_
_atom_site_label
_atom_site_fract_x
_atom_site_fract_y
_atom_site_fract_z
_atom_site_occupancy
Er1 0.0000 0.0000 0.0000 1
Tm1 0.3381 0.5000 0.6997 1
Tm2 0.7262 0.0000 0.4767 1
Pu1 0.6087 0.5000 0.2195 1
```

For the density of states at the Fermi level, the calculation gives 10.62 states/eV/f.u. The calculation puts the total energy at -6.839 eV/atom. The value obtained for the energy above the lowest structure with this stoichiometry is 38 meV per atom. Its energy of formation from the pure elements is 0.12 eV/atom.

---

9.
DFT (PBE) results for crystalline AcSm2Bi2 at its relaxed geometry.

Structure (CIF):
```
data_AcSm2Bi2
_cell_length_a 6.6749
_cell_length_b 6.6973
_cell_length_c 15.4954
_cell_angle_alpha 90.00
_cell_angle_beta 90.00
_cell_angle_gamma 90.00
_symmetry_space_group_name_H-M 'F m m m'
_symmetry_Int_Tables_number 69
_symmetry_space_group_name_Hall '-F 2 2'
loop_
_atom_site_label
_atom_site_fract_x
_atom_site_fract_y
_atom_site_fract_z
_atom_site_occupancy
Ac1 0.0000 0.0000 0.0000 1
Sm1 0.2500 0.2500 0.2500 1
Bi1 0.0000 0.0000 0.3948 1
```

For the density of states at the Fermi level, the calculation gives 5.18 states/eV/f.u. The calculation puts the total energy at -4.858 eV/atom. Its energy of formation from the pure elements is -0.60 eV/atom.

---

10.
DFT (PBE) results for crystalline GePtW3 at its relaxed geometry.

Structure (CIF):
```
data_GePtW3
_cell_length_a 4.8084
_cell_length_b 4.8084
_cell_length_c 4.8084
_cell_angle_alpha 90.00
_cell_angle_beta 90.00
_cell_angle_gamma 90.00
_symmetry_space_group_name_H-M 'P m -3 m'
_symmetry_Int_Tables_number 221
_symmetry_space_group_name_Hall '-P 4 2 3'
loop_
_atom_site_label
_atom_site_fract_x
_atom_site_fract_y
_atom_site_fract_z
_atom_site_occupancy
Ge1 0.0000 0.0000 0.0000 1
Pt1 0.5000 0.5000 0.5000 1
W1 0.0000 0.5000 0.5000 1
```

For the density of states at the Fermi level, the calculation gives 6.71 states/eV/f.u. The calculation puts the total energy at -7.748 eV/atom. The value obtained for the energy above the lowest structure with this stoichiometry is 495 meV per atom. Its energy of formation from the pure elements is 2.16 eV/atom.

---

11.
DFT (PBE) results for crystalline PPd2PbI at its relaxed geometry.

Structure (CIF):
```
data_PPd2PbI
_cell_length_a 4.5900
_cell_length_b 4.5900
_cell_length_c 6.0856
_cell_angle_alpha 90.00
_cell_angle_beta 90.00
_cell_angle_gamma 90.00
_symmetry_space_group_name_H-M 'P 4/m m m'
_symmetry_Int_Tables_number 123
_symmetry_space_group_name_Hall '-P 4 2'
loop_
_atom_site_label
_atom_site_fract_x
_atom_site_fract_y
_atom_site_fract_z
_atom_site_occupancy
P1 0.0000 0.0000 0.0000 1
Pd1 0.0000 0.5000 0.0000 1
Pb1 0.0000 0.0000 0.5000 1
I1 0.5000 0.5000 0.5000 1
```

For the density of states at the Fermi level, the calculation gives 3.90 states/eV/f.u. The calculation puts the total energy at -4.192 eV/atom. The value obtained for the energy above the lowest structure with this stoichiometry is 0 meV per atom.

---

12.
DFT (PBE) results for crystalline NaAl2SiAu5 at its relaxed geometry.

Structure (CIF):
```
data_NaAl2SiAu5
_cell_length_a 4.7440
_cell_length_b 5.7795
_cell_length_c 13.6870
_cell_angle_alpha 90.00
_cell_angle_beta 90.00
_cell_angle_gamma 90.00
_symmetry_space_group_name_H-M 'I m m m'
_symmetry_Int_Tables_number 71
_symmetry_space_group_name_Hall '-I 2 2'
loop_
_atom_site_label
_atom_site_fract_x
_atom_site_fract_y
_atom_site_fract_z
_atom_site_occupancy
Na1 0.0000 0.0000 0.0000 1
Al1 0.0000 0.5000 0.1888 1
Si1 0.0000 0.0000 0.5000 1
Au1 0.0000 0.2511 0.3423 1
Au2 0.0000 0.5000 0.0000 1
```

For the density of states at the Fermi level, the calculation gives 3.35 states/eV/f.u. The calculation puts the total energy at -3.565 eV/atom.